Entry 1:
Computed, not measured: a geometry-optimized CsUPd structure at the PBE level of DFT.

Cell lengths 7.3418, 7.3418, 7.3418 Å; angles 90.00, 90.00, 90.00 degrees
Space group F-43m (No. 216)
Inequivalent atoms, fractional coordinates:
Cs (0.0000, 0.0000, 0.0000) [4 per cell]
U (0.0000, 0.0000, 0.5000) [4 per cell]
Pd (0.2500, 0.2500, 0.2500) [4 per cell]

Raw total energy = -0.1729 Ha/atom
Size of the total moment = 1.11 μB/atom



Entry 2:
Computed, not measured: a geometry-optimized Ta2NbB4 structure at the PBE level of DFT.

Cell lengths 3.1447, 3.3134, 14.0818 Å; angles 90.00, 90.00, 90.00 degrees
Space group Immm (No. 71)
Inequivalent atoms, fractional coordinates:
Ta (0.0000, 0.0000, 0.1854) [4 per cell]
Nb (0.0000, 0.5000, 0.5000) [2 per cell]
B (0.0000, 0.0000, 0.3664) [4 per cell]
B (0.0000, 0.5000, 0.0644) [4 per cell]

Raw total energy = -0.3463 Ha/atom
Size of the total moment = 0.00 μB/atom



Entry 3:
Computed, not measured: a geometry-optimized MgCuHgPb structure at the PBE level of DFT.

Cell lengths 6.9651, 6.9651, 6.9651 Å; angles 90.00, 90.00, 90.00 degrees
Space group F-43m (No. 216)
Inequivalent atoms, fractional coordinates:
Mg (0.0000, 0.0000, 0.0000) [4 per cell]
Cu (0.0000, 0.0000, 0.5000) [4 per cell]
Hg (0.2500, 0.2500, 0.7500) [4 per cell]
Pb (0.2500, 0.2500, 0.2500) [4 per cell]

Raw total energy = -0.0809 Ha/atom



Entry 4:
Computed, not measured: a geometry-optimized ScCuNiSb structure at the PBE level of DFT.

Cell lengths 6.4019, 6.4019, 6.4019 Å; angles 90.00, 90.00, 90.00 degrees
Space group F-43m (No. 216)
Inequivalent atoms, fractional coordinates:
Sc (0.0000, 0.0000, 0.0000) [4 per cell]
Cu (0.2500, 0.2500, 0.7500) [4 per cell]
Ni (0.0000, 0.0000, 0.5000) [4 per cell]
Sb (0.2500, 0.2500, 0.2500) [4 per cell]

Raw total energy = -0.1907 Ha/atom
Size of the total moment = 0.00 μB/atom



Entry 5:
Computed, not measured: a geometry-optimized LuCuHgPb structure at the PBE level of DFT.

Cell lengths 7.0851, 7.0851, 7.0851 Å; angles 90.00, 90.00, 90.00 degrees
Space group F-43m (No. 216)
Inequivalent atoms, fractional coordinates:
Lu (0.0000, 0.0000, 0.0000) [4 per cell]
Cu (0.0000, 0.0000, 0.5000) [4 per cell]
Hg (0.2500, 0.2500, 0.7500) [4 per cell]
Pb (0.2500, 0.2500, 0.2500) [4 per cell]

Raw total energy = -0.1158 Ha/atom
Size of the total moment = 0.00 μB/atom



Entry 6:
Computed, not measured: a geometry-optimized PaBeNi structure at the PBE level of DFT.

Cell lengths 6.1825, 6.1825, 6.1825 Å; angles 90.00, 90.00, 90.00 degrees
Space group F-43m (No. 216)
Inequivalent atoms, fractional coordinates:
Pa (0.0000, 0.0000, 0.0000) [4 per cell]
Be (0.2500, 0.2500, 0.7500) [4 per cell]
Ni (0.2500, 0.2500, 0.2500) [4 per cell]

Raw total energy = -0.2009 Ha/atom
Size of the total moment = 0.00 μB/atom